1:
Density functional theory data (PBE) for a geometry-optimized AcMgSn structure.

## Properties
- volume (Å³/cell) = 104
- magnetic moment (μB per formula unit) = 0.00
- theoretical density (kg/m³) = 5883
- space-group type = F-43m (216)

Unit cell a=5.286 b=5.286 c=5.286 alpha=60.00 beta=60.00 gamma=60.00
Atoms (fractional coordinates):
Sn (0.250, 0.250, 0.250)
Mg (0.000, 0.000, 0.000)
Ac (0.500, 0.500, 0.500)

***

2:
Density functional theory data (PBE) for a geometry-optimized AcMgSn structure.

## Properties
- volume (Å³/cell) = 95
- magnetic moment (μB per formula unit) = 0.00
- theoretical density (kg/m³) = 6466
- space-group type = P-6m2 (187)

Unit cell a=4.675 b=4.845 c=4.845 alpha=120.00 beta=90.00 gamma=90.00
Atoms (fractional coordinates):
Ac (0.667, 0.667, 0.333)
Mg (0.167, 0.000, 0.000)
Sn (0.167, 0.333, 0.667)

***

Which one sits at the top of the stability order? 2 does.